Record 1
# BaLi2Sn

A geometry-optimized BaLi2Sn structure (PBE, the Alexandria database).

Cell lengths 10.060, 10.060, 10.060 Å; angles 149.18, 149.18, 44.15 degrees
Fractional positions:
Ba 0.000 0.000 0.000
Ba 0.750 0.250 0.500
Li 0.373 0.625 0.248
Li 0.375 0.623 0.748
Li 0.377 0.125 0.752
Li 0.875 0.627 0.252
Sn 0.250 0.750 0.500
Sn 0.500 0.500 0.000

DOS(E_F)   0.30 states/eV per atom
Energy relative to the elements   -0.2559 eV per atom

Record 2
# Ba3Li3Sn8

A geometry-optimized Ba3Li3Sn8 structure (PBE, the Alexandria database).

Cell lengths 9.735, 9.735, 9.735 Å; angles 151.98, 102.87, 83.94 degrees
Fractional positions:
Ba 0.000 0.000 0.000
Ba 0.289 0.289 0.000
Ba 0.711 0.711 0.000
Li 0.318 0.500 0.818
Li 0.500 0.000 0.500
Li 0.682 0.500 0.182
Sn 0.007 0.351 0.656
Sn 0.177 0.871 0.306
Sn 0.304 0.649 0.656
Sn 0.435 0.129 0.306
Sn 0.565 0.871 0.694
Sn 0.696 0.351 0.344
Sn 0.823 0.129 0.694
Sn 0.993 0.649 0.344

Energy above the lowest structure with this stoichiometry   49 kJ/mol of formula units
DOS(E_F)   0.50 states/eV per atom
Energy relative to the elements   -0.4361 eV per atom

Record 3
# BaLi4Sn4

A geometry-optimized BaLi4Sn4 structure (PBE, the Alexandria database).

Cell lengths 6.780, 6.780, 9.830 Å; angles 90.00, 90.00, 90.00 degrees
Fractional positions:
Ba 0.250 0.750 0.250
Ba 0.750 0.250 0.750
Li 0.013 0.250 0.154
Li 0.250 0.013 0.654
Li 0.250 0.487 0.654
Li 0.487 0.250 0.154
Li 0.513 0.750 0.846
Li 0.750 0.513 0.346
Li 0.750 0.987 0.346
Li 0.987 0.750 0.846
Sn 0.040 0.250 0.447
Sn 0.250 0.040 0.947
Sn 0.250 0.460 0.947
Sn 0.460 0.250 0.447
Sn 0.540 0.750 0.553
Sn 0.750 0.540 0.053
Sn 0.750 0.960 0.053
Sn 0.960 0.750 0.553

DOS(E_F)   0.55 states/eV per atom
Energy relative to the elements   -0.3933 eV per atom

Record 4
# Ba3LiSn

A geometry-optimized Ba3LiSn structure (PBE, the Alexandria database).

Cell lengths 6.792, 6.792, 6.792 Å; angles 90.00, 90.00, 90.00 degrees
Fractional positions:
Ba 0.000 0.000 0.500
Ba 0.000 0.500 0.000
Ba 0.500 0.000 0.000
Li 0.500 0.500 0.500
Sn 0.000 0.000 0.000

Energy above the lowest structure with this stoichiometry   68 kJ/mol of formula units
DOS(E_F)   1.22 states/eV per atom
Energy relative to the elements   -0.0875 eV per atom

Record 5
# Ba2LiSn2

A geometry-optimized Ba2LiSn2 structure (PBE, the Alexandria database).

Cell lengths 10.962, 10.962, 10.962 Å; angles 156.63, 156.63, 33.29 degrees
Fractional positions:
Ba 0.114 0.114 0.000
Ba 0.886 0.886 0.000
Li 0.500 0.500 0.000
Sn 0.250 0.750 0.500
Sn 0.750 0.250 0.500

Energy above the lowest structure with this stoichiometry   209 kJ/mol of formula units
DOS(E_F)   1.17 states/eV per atom
Energy relative to the elements   -0.1468 eV per atom

Record 6
# BaLi4Sn

A geometry-optimized BaLi4Sn structure (PBE, the Alexandria database).

Cell lengths 11.479, 11.479, 5.775 Å; angles 90.00, 90.00, 154.63 degrees
Fractional positions:
Ba 0.094 0.906 0.750
Ba 0.906 0.094 0.250
Li 0.171 0.829 0.250
Li 0.288 0.712 0.511
Li 0.288 0.712 0.989
Li 0.500 0.500 0.000
Li 0.500 0.500 0.500
Li 0.712 0.288 0.011
Li 0.712 0.288 0.489
Li 0.829 0.171 0.750
Sn 0.398 0.602 0.750
Sn 0.602 0.398 0.250

Energy above the lowest structure with this stoichiometry   7 kJ/mol of formula units
DOS(E_F)   0.34 states/eV per atom
Energy relative to the elements   -0.2151 eV per atom

Record 7
# Ba3Li4Sn8

A geometry-optimized Ba3Li4Sn8 structure (PBE, the Alexandria database).

Cell lengths 9.940, 9.940, 6.834 Å; angles 98.30, 98.30, 40.12 degrees
Fractional positions:
Ba 0.000 0.000 0.000
Ba 0.323 0.323 0.686
Ba 0.677 0.677 0.314
Li 0.213 0.213 0.134
Li 0.214 0.786 0.500
Li 0.786 0.214 0.500
Li 0.787 0.787 0.866
Sn 0.113 0.584 0.192
Sn 0.129 0.129 0.454
Sn 0.416 0.887 0.808
Sn 0.483 0.483 0.203
Sn 0.517 0.517 0.797
Sn 0.584 0.113 0.192
Sn 0.871 0.871 0.546
Sn 0.887 0.416 0.808

DOS(E_F)   0.25 states/eV per atom
Energy relative to the elements   -0.5139 eV per atom

Record 8
# Ba2LiSn2

A geometry-optimized Ba2LiSn2 structure (PBE, the Alexandria database).

Cell lengths 8.460, 8.460, 5.248 Å; angles 90.00, 90.00, 90.00 degrees
Fractional positions:
Ba 0.166 0.334 0.000
Ba 0.334 0.834 0.000
Ba 0.666 0.166 0.000
Ba 0.834 0.666 0.000
Li 0.000 0.000 0.500
Li 0.500 0.500 0.500
Sn 0.128 0.628 0.500
Sn 0.372 0.128 0.500
Sn 0.628 0.872 0.500
Sn 0.872 0.372 0.500

Energy above the lowest structure with this stoichiometry   50 kJ/mol of formula units
DOS(E_F)   0.77 states/eV per atom
Energy relative to the elements   -0.4775 eV per atom

Record 9
# Ba3Li2Sn4

A geometry-optimized Ba3Li2Sn4 structure (PBE, the Alexandria database).

Cell lengths 7.001, 7.001, 9.902 Å; angles 99.53, 99.53, 40.31 degrees
Fractional positions:
Ba 0.000 0.000 0.000
Ba 0.340 0.340 0.330
Ba 0.660 0.660 0.670
Li 0.381 0.381 0.710
Li 0.619 0.619 0.290
Sn 0.062 0.062 0.395
Sn 0.287 0.287 0.938
Sn 0.713 0.713 0.062
Sn 0.938 0.938 0.605

DOS(E_F)   0.99 states/eV per atom
Energy relative to the elements   -0.5508 eV per atom

Record 10
# Ba3Li3Sn8

A geometry-optimized Ba3Li3Sn8 structure (PBE, the Alexandria database).

Cell lengths 9.525, 9.525, 11.036 Å; angles 125.30, 125.30, 30.91 degrees
Fractional positions:
Ba 0.000 0.000 0.000
Ba 0.306 0.306 0.307
Ba 0.694 0.694 0.693
Li 0.000 0.000 0.500
Li 0.331 0.331 0.686
Li 0.669 0.669 0.314
Sn 0.138 0.138 0.409
Sn 0.150 0.150 0.873
Sn 0.351 0.351 0.973
Sn 0.493 0.493 0.693
Sn 0.507 0.507 0.307
Sn 0.649 0.649 0.027
Sn 0.850 0.850 0.127
Sn 0.862 0.862 0.591

Energy above the lowest structure with this stoichiometry   0 kJ/mol of formula units
DOS(E_F)   0.29 states/eV per atom
Energy relative to the elements   -0.4724 eV per atom

Record 11
# BaLiSn2

A geometry-optimized BaLiSn2 structure (PBE, the Alexandria database).

Cell lengths 3.819, 3.819, 7.825 Å; angles 90.00, 90.00, 90.00 degrees
Fractional positions:
Ba 0.000 0.000 0.000
Li 0.000 0.000 0.500
Sn 0.500 0.500 0.310
Sn 0.500 0.500 0.690

DOS(E_F)   0.55 states/eV per atom
Energy relative to the elements   -0.4312 eV per atom

Record 12
# BaLi6Sn2

A geometry-optimized BaLi6Sn2 structure (PBE, the Alexandria database).

Cell lengths 4.960, 4.960, 8.885 Å; angles 90.00, 90.00, 90.00 degrees
Fractional positions:
Ba 0.000 0.000 0.000
Li 0.000 0.000 0.500
Li 0.000 0.500 0.312
Li 0.000 0.500 0.688
Li 0.500 0.000 0.312
Li 0.500 0.000 0.688
Li 0.500 0.500 0.500
Sn 0.500 0.500 0.169
Sn 0.500 0.500 0.831

DOS(E_F)   0.37 states/eV per atom
Energy relative to the elements   -0.2946 eV per atom